Computed, not measured: MgPH13O9 at its PBEsol-relaxed geometry at the meta-GGA SCAN level of DFT.

Properties
Calculated total energy ... -6.23 eV/atom

Lattice parameters (Å, degrees): 5.8751 5.8751 5.8751 96.25 96.25 96.25
Sites, in units of the cell vectors:
Mg  0.0000  0.0000  0.0000
P  0.5133  0.5133  0.5133
H  0.0426  0.4628  0.9744
H  0.2005  0.8177  0.6204
H  0.2644  0.3733  0.8660
H  0.3563  0.3563  0.3563
H  0.3733  0.8660  0.2644
H  0.4628  0.9744  0.0426
H  0.5845  0.9335  0.7214
H  0.6204  0.2005  0.8177
H  0.7214  0.5845  0.9335
H  0.8177  0.6204  0.2005
H  0.8660  0.2644  0.3733
H  0.9335  0.7214  0.5845
H  0.9744  0.0426  0.4628
O  0.0453  0.8595  0.6596
O  0.1187  0.3233  0.9293
O  0.3233  0.9293  0.1187
O  0.4324  0.7549  0.5161
O  0.5161  0.4324  0.7549
O  0.6596  0.0453  0.8595
O  0.7549  0.5161  0.4324
O  0.8595  0.6596  0.0453
O  0.9293  0.1187  0.3233

Computed, not measured: RbCa3Cl at its PBEsol-relaxed geometry at the meta-GGA SCAN level of DFT.

Properties
Formation energy without anion corrections ... 3.6 eV per formula unit
Calculated total energy ... -10.82 eV/atom

Lattice parameters (Å, degrees): 7.1684 7.1684 7.1684 90.00 90.00 90.00
Sites, in units of the cell vectors:
Rb  0.0000  0.0000  0.0000
Ca  0.0000  0.0000  0.5000
Ca  0.0000  0.5000  0.0000
Ca  0.5000  0.0000  0.0000
Cl  0.5000  0.5000  0.5000